Computed, not measured: an optimized crystal structure of PmSc5In6 at the PBE-GGA level of DFT.

Calculated formation energy   -0.4253 eV per atom
Final energy   -0.1774 hartree per atom
Total magnetic moment   2.13 μB per formula unit

```
data_PmSc5In6
_cell_length_a 14.654
_cell_length_b 8.751
_cell_length_c 4.636
_cell_angle_alpha 90.00
_cell_angle_beta 108.34
_cell_angle_gamma 90.00
_space_group_name_H-M_alt 'C 1 2/m 1'
_space_group_IT_number 12
_space_group_name_Hall '-C 2y'
loop_
_atom_site_label
_atom_site_type_symbol
_atom_site_fract_x
_atom_site_fract_y
_atom_site_fract_z
Pm1 Pm 0.000 0.000 0.000
Sc1 Sc 0.000 0.500 0.000
Sc2 Sc 0.168 0.000 0.668
Sc3 Sc 0.169 0.500 0.669
In1 In 0.000 0.259 0.500
In2 In 0.170 0.255 0.170
```